Computed, not measured: crystalline YGaPd6 at its relaxed geometry at the PBE-GGA level of DFT.

The structure in POSCAR format:
```
YGaPd6
1.0
4.0651 0.0000 0.0000
0.0000 4.0651 0.0000
0.0000 0.0000 7.9288
Y Ga Pd
1 1 6
Direct
0.0000 0.0000 0.0000
0.0000 0.0000 0.5000
0.0000 0.5000 0.2671
0.0000 0.5000 0.7329
0.5000 0.0000 0.2671
0.5000 0.0000 0.7329
0.5000 0.5000 0.0000
0.5000 0.5000 0.5000
```

## Properties
DOS at the Fermi energy: 0.953 states/eV per atom
excess energy over the best structure of this formula in the dataset: 0.00 kcal/mol of atoms
volume: 131.0 Å³/cell
VASP energy: -0.21080 hartree per atom

Computed, not measured: crystalline Cd2ReBiIr at its relaxed geometry at the PBE-GGA level of DFT.

The structure in POSCAR format:
```
Cd2ReBiIr
1.0
5.3351 0.0000 0.0000
0.0000 5.3351 0.0000
0.0000 0.0000 5.1764
Cd Re Bi Ir
2 1 1 1
Direct
0.0000 0.5000 0.0000
0.5000 0.0000 0.0000
0.0000 0.0000 0.5000
0.0000 0.0000 0.0000
0.5000 0.5000 0.5000
```

## Properties
DOS at the Fermi energy: 1.185 states/eV per atom
volume: 147.3 Å³/cell
VASP energy: -0.11367 hartree per atom

Computed, not measured: crystalline K4CuHg at its relaxed geometry at the PBE-GGA level of DFT.

The structure in POSCAR format:
```
K4CuHg
1.0
0.0000 5.4700 5.4700
5.4700 0.0000 5.4700
5.4700 5.4700 0.0000
K Cu Hg
4 1 1
Direct
0.1244 0.1244 0.1244
0.1244 0.1244 0.6269
0.1244 0.6269 0.1244
0.6269 0.1244 0.1244
0.7500 0.7500 0.7500
0.5000 0.5000 0.5000
```

## Properties
DOS at the Fermi energy: 0.288 states/eV per atom
volume: 327.3 Å³/cell
VASP energy: -0.03930 hartree per atom

Computed, not measured: crystalline Ac6Ir2PtI3 at its relaxed geometry at the PBE-GGA level of DFT.

The structure in POSCAR format:
```
Ac6Ir2PtI3
1.0
3.8316 -6.6370 0.0000
3.8316 6.6370 0.0000
-2.5547 0.0000 8.6305
Ac Ir Pt I
6 2 1 3
Direct
0.0983 0.4386 0.8157
0.2212 0.2212 0.1842
0.4386 0.0983 0.8157
0.5614 0.9017 0.1843
0.7788 0.7788 0.8158
0.9017 0.5614 0.1843
0.1666 0.8334 0.0000
0.8334 0.1666 0.0000
0.5000 0.5000 0.0000
0.0000 0.0000 0.5000
0.3333 0.6667 0.5000
0.6667 0.3333 0.5000
```

## Properties
DOS at the Fermi energy: 0.416 states/eV per atom
volume: 439.0 Å³/cell
formation energy from raw total energies: -1131 meV/atom
VASP energy: -0.20408 hartree per atom

Computed, not measured: crystalline LiCrSe2 at its relaxed geometry at the PBE-GGA level of DFT.

The structure in POSCAR format:
```
LiCrSe2
1.0
3.2537 0.0000 0.0000
0.0000 3.2537 0.0000
0.0000 0.0000 6.7776
Li Cr Se
1 1 2
Direct
0.0000 0.0000 0.0000
0.0000 0.0000 0.5000
0.5000 0.5000 0.2709
0.5000 0.5000 0.7291
```

## Properties
DOS at the Fermi energy: 0.479 states/eV per atom
volume: 71.8 Å³/cell
formation energy from raw total energies: -401 meV/atom
VASP energy: -0.18477 hartree per atom

Computed, not measured: crystalline Ce2SmTl3 at its relaxed geometry at the PBE-GGA level of DFT.

The structure in POSCAR format:
```
Ce2SmTl3
1.0
3.5302 0.0000 0.0000
0.0000 3.5302 0.0000
0.0000 0.0000 13.7567
Ce Sm Tl
2 1 3
Direct
0.0000 0.0000 0.1683
0.0000 0.0000 0.8317
0.0000 0.0000 0.5000
0.5000 0.5000 0.0000
0.5000 0.5000 0.3355
0.5000 0.5000 0.6645
```

## Properties
DOS at the Fermi energy: 2.508 states/eV per atom
volume: 171.4 Å³/cell
VASP energy: -0.15549 hartree per atom